# PuCu2Au9

A relaxed PuCu2Au9 crystal (PBE, Alexandria via LeMat-Bulk).

* electronic total energy: -106.65 eV per cell
* size of the total moment: 11.432 Bohr magnetons per cell
* ρ: 15.697 g/cm3
* E_form: -0.11 eV/atom

abc: 7.222 8.709 8.709
angles: 80.10 65.50 65.50
Fractional positions:
Au  0.607  0.319  0.076
Au  0.143  0.424  0.181
Au  0.002  0.681  0.924
Au  0.748  0.576  0.819
Au  0.143  0.181  0.424
Au  0.433  0.819  0.424
Au  0.607  0.076  0.319
Au  0.317  0.681  0.076
Au  0.317  0.076  0.681
Au  0.676  0.576  0.181
Au  0.000  0.000  0.000
Au  0.676  0.181  0.576
Au  0.433  0.424  0.819
Au  0.748  0.819  0.576
Au  0.002  0.924  0.681
Au  0.074  0.319  0.924
Au  0.074  0.924  0.319
Au  0.750  0.500  0.500
Pu  0.500  0.000  0.000
Pu  0.250  0.500  0.500
Cu  0.875  0.250  0.750
Cu  0.375  0.750  0.750
Cu  0.875  0.250  0.250
Cu  0.875  0.750  0.250

# Pu5CuAu4

A relaxed Pu5CuAu4 crystal (PBE, Alexandria via LeMat-Bulk).

* electronic total energy: -89.22 eV per cell
* size of the total moment: 17.539 Bohr magnetons per cell
* ρ: 15.204 g/cm3
* E_form: -0.04 eV/atom

abc: 3.713 3.713 16.410
angles: 90.00 90.00 90.00
Fractional positions:
Cu  0.000  0.000  0.000
Pu  0.500  0.500  0.715
Pu  0.500  0.500  0.500
Pu  0.500  0.500  0.285
Pu  0.500  0.500  0.932
Pu  0.500  0.500  0.068
Au  0.000  0.000  0.608
Au  0.000  0.000  0.392
Au  0.000  0.000  0.829
Au  0.000  0.000  0.171

# PuCuAu11

A relaxed PuCuAu11 crystal (PBE, Alexandria via LeMat-Bulk).

* electronic total energy: -55.91 eV per cell
* size of the total moment: 5.616 Bohr magnetons per cell
* ρ: 16.398 g/cm3
* E_form: -0.11 eV/atom

abc: 5.546 7.187 7.350
angles: 81.67 67.83 67.43
Fractional positions:
Pu  0.000  0.000  0.000
Au  0.979  0.354  0.663
Au  0.021  0.646  0.337
Au  0.642  0.354  0.337
Au  0.702  0.783  0.791
Au  0.000  0.500  0.000
Au  0.493  0.783  0.209
Au  0.507  0.217  0.791
Au  0.358  0.646  0.663
Au  0.298  0.217  0.209
Au  0.000  0.000  0.500
Au  0.500  0.000  0.500
Cu  0.500  0.500  0.000

# PuCu2Au10

A relaxed PuCu2Au10 crystal (PBE, Alexandria via LeMat-Bulk).

* electronic total energy: -56.97 eV per cell
* size of the total moment: 5.585 Bohr magnetons per cell
* ρ: 16.008 g/cm3
* E_form: -0.13 eV/atom

abc: 5.436 7.112 7.321
angles: 81.84 68.21 67.53
Fractional positions:
Au  0.000  0.000  0.500
Au  0.714  0.778  0.794
Au  0.286  0.222  0.206
Au  0.492  0.222  0.794
Au  0.508  0.778  0.206
Au  0.341  0.643  0.674
Au  0.500  0.000  0.500
Au  0.659  0.357  0.326
Au  0.016  0.643  0.326
Au  0.984  0.357  0.674
Cu  0.500  0.500  0.000
Cu  0.000  0.500  0.000
Pu  0.000  0.000  0.000

# PuCu6Au6

A relaxed PuCu6Au6 crystal (PBE, Alexandria via LeMat-Bulk).

* electronic total energy: -60.52 eV per cell
* size of the total moment: 5.386 Bohr magnetons per cell
* ρ: 14.177 g/cm3
* E_form: -0.15 eV/atom

abc: 5.199 6.890 6.890
angles: 81.99 67.84 67.84
Fractional positions:
Au  0.000  0.338  0.662
Au  0.343  0.657  0.657
Au  0.000  0.662  0.338
Au  0.690  0.810  0.810
Au  0.310  0.190  0.190
Au  0.657  0.343  0.343
Cu  0.000  0.500  0.000
Cu  0.500  0.500  0.000
Cu  0.000  0.000  0.500
Cu  0.500  0.765  0.235
Cu  0.500  0.235  0.765
Cu  0.500  0.000  0.500
Pu  0.000  0.000  0.000

# PuCuAu4

A relaxed PuCuAu4 crystal (PBE, Alexandria via LeMat-Bulk).

* electronic total energy: -32.27 eV per cell
* size of the total moment: 5.932 Bohr magnetons per cell
* ρ: 15.057 g/cm3
* E_form: -0.12 eV/atom

abc: 5.549 5.549 5.549
angles: 60.00 60.00 60.00
Fractional positions:
Pu  0.250  0.250  0.250
Cu  0.000  0.000  0.000
Au  0.123  0.626  0.626
Au  0.626  0.626  0.626
Au  0.626  0.626  0.123
Au  0.626  0.123  0.626

# PuCu4Au4

A relaxed PuCu4Au4 crystal (PBE, Alexandria via LeMat-Bulk).

* electronic total energy: -86.93 eV per cell
* size of the total moment: 11.021 Bohr magnetons per cell
* ρ: 13.360 g/cm3
* E_form: 0.04 eV/atom

abc: 4.734 8.218 8.218
angles: 90.00 90.00 90.00
Fractional positions:
Au  0.503  0.854  0.588
Au  0.997  0.354  0.088
Au  0.497  0.412  0.854
Au  0.003  0.912  0.354
Au  0.997  0.646  0.912
Au  0.503  0.146  0.412
Au  0.497  0.588  0.146
Au  0.003  0.088  0.646
Pu  0.500  0.500  0.500
Pu  0.000  0.000  0.000
Cu  0.997  0.396  0.702
Cu  0.503  0.896  0.202
Cu  0.503  0.104  0.798
Cu  0.497  0.798  0.896
Cu  0.497  0.202  0.104
Cu  0.003  0.298  0.396
Cu  0.003  0.702  0.604
Cu  0.997  0.604  0.298

# PuCu2Au

A relaxed PuCu2Au crystal (PBE, Alexandria via LeMat-Bulk).

* electronic total energy: -53.00 eV per cell
* size of the total moment: 11.436 Bohr magnetons per cell
* ρ: 12.969 g/cm3
* E_form: -0.17 eV/atom

abc: 4.133 4.968 7.085
angles: 90.00 90.00 90.00
Fractional positions:
Pu  0.000  0.750  0.322
Pu  0.000  0.250  0.678
Cu  0.000  0.250  0.091
Cu  0.500  0.500  0.000
Cu  0.500  0.000  0.000
Cu  0.000  0.750  0.909
Au  0.500  0.750  0.649
Au  0.500  0.250  0.351